{"formula": "TmTlPbF6", "functional": "PBE", "state": "relaxed", "formation_energy_uncorrected_ev_per_atom": -3.01, "lattice": [[6.354, 0.000, 0.000], [-3.177, 5.502, 0.000], [0.000, 0.000, 5.189]], "species": ["Tm", "Tl", "Pb", "F", "F", "F", "F", "F", "F"], "frac_coords": [[0.000, 0.000, 0.000], [0.667, 0.333, 0.555], [0.333, 0.667, 0.086], [0.079, 0.748, 0.800], [0.252, 0.331, 0.800], [0.296, 0.030, 0.230], [0.669, 0.921, 0.800], [0.734, 0.704, 0.230], [0.970, 0.266, 0.230]]}